# 1
Density functional theory data (PBE) for an optimized crystal structure of V2WN.

Output
- M_tot (μB per cell) = 0.0
- formation energy from raw total energies (eV per atom) = -0.18
- raw total energy (eV per cell) = -40.23

```
V2WN
1.0
2.598 0.000 0.000
0.000 2.598 0.000
0.000 0.000 7.009
V W N
2 1 1
direct
0.000 0.000 0.172
0.000 0.000 0.828
0.500 0.500 0.500
0.500 0.500 0.000
```

---

# 2
Density functional theory data (PBE) for an optimized crystal structure of V3WN.

Output
- M_tot (μB per cell) = 0.0
- formation energy from raw total energies (eV per atom) = -0.40
- raw total energy (eV per cell) = -50.63

```
V3WN
1.0
3.964 0.000 0.000
0.000 3.964 0.000
0.000 0.000 3.964
V W N
3 1 1
direct
0.000 0.000 0.500
0.000 0.500 0.000
0.500 0.000 0.000
0.500 0.500 0.500
0.000 0.000 0.000
```

---

- Which value of M_tot does entry 1 give?
  0.0 μB per cell

---

- Look up the raw total energy of the second one.
  -50.63 eV per cell

---

What did the second record say?
Density functional theory data (PBE) for an optimized crystal structure of V3WN.

Output
- M_tot (μB per cell) = 0.0
- formation energy from raw total energies (eV per atom) = -0.40
- raw total energy (eV per cell) = -50.63

```
V3WN
1.0
3.964 0.000 0.000
0.000 3.964 0.000
0.000 0.000 3.964
V W N
3 1 1
direct
0.000 0.000 0.500
0.000 0.500 0.000
0.500 0.000 0.000
0.500 0.500 0.500
0.000 0.000 0.000
```